Record 1
Material: TbDy2Th3P6
Method: DFT, PBE
State: optimized geometry

Computed properties:
- magnetic moment (μB per formula unit) = 0.0
- total energy (eV/atom) = -7.301
- D(E_F) (states/eV/f.u.) = 4.8
- DFT formation energy (meV per atom) = -1588
- space group = C2/m

The structure in POSCAR format:
```
TbDy2Th3P6
1.0
-4.678 -0.950 5.234
6.930 0.226 1.453
-1.140 6.798 -1.386
Dy P Tb Th
2 6 1 3
Cartesian
-0.809 -0.558 3.974 Dy
3.061 -0.166 2.713 Dy
1.404 1.114 4.658 P
-0.293 4.961 0.643 P
-1.658 1.279 1.953 P
2.769 4.796 3.347 P
-1.109 4.403 4.610 P
2.220 1.672 0.690 P
0.000 0.000 0.000 Tb
-3.315 2.645 3.911 Th
0.556 3.037 2.650 Th
4.426 3.429 1.390 Th
```


Record 2
Material: MgReW2I
Method: DFT, PBE
State: optimized geometry

Computed properties:
- magnetic moment (μB per formula unit) = 0.0
- total energy (eV/atom) = -5.762
- D(E_F) (states/eV/f.u.) = 6.0
- space group = P4/mmm
- formation energy without anion corrections (eV per atom) = 2.54

The structure in POSCAR format:
```
MgReW2I
1.0
4.877 0.000 0.000
0.000 4.841 0.000
0.000 0.000 4.877
Re W I Mg
1 2 1 1
Cartesian
0.000 2.420 0.000 Re
0.000 0.000 2.439 W
2.439 0.000 0.000 W
0.000 0.000 0.000 I
2.439 2.420 2.439 Mg
```


Record 3
Material: Cd2IrBr4
Method: DFT, PBE
State: optimized geometry

Computed properties:
- magnetic moment (μB per formula unit) = 0.0
- total energy (eV/atom) = -2.518
- D(E_F) (states/eV/f.u.) = 3.6
- space group = I4/mmm
- formation energy without anion corrections (eV per atom) = -0.03

The structure in POSCAR format:
```
Cd2IrBr4
1.0
-1.412 2.616 4.240
-0.037 -4.412 2.710
6.234 0.092 5.182
Br Cd Ir
4 2 1
Cartesian
1.008 -1.447 7.553 Br
3.777 -0.258 4.579 Br
-0.018 -2.206 1.355 Br
-0.706 1.308 2.120 Br
1.084 -0.641 3.919 Cd
3.700 -1.064 8.213 Cd
0.000 0.000 0.000 Ir
```


Record 4
Material: Tc2NiPb
Method: DFT, PBE
State: optimized geometry

Computed properties:
- magnetic moment (μB per formula unit) = 0.0
- total energy (eV/atom) = -6.991
- D(E_F) (states/eV/f.u.) = 4.9
- DFT formation energy (meV per atom) = 565
- space group = Immm

The structure in POSCAR format:
```
Tc2NiPb
1.0
-5.049 -0.078 -1.658
-3.609 -2.705 2.811
3.630 3.878 0.173
Pb Ni Tc
1 1 2
Cartesian
-2.154 -0.109 1.781 Pb
-2.874 1.204 -0.454 Ni
-4.407 -1.417 0.587 Tc
-8.580 -2.758 1.143 Tc
```


Record 5
Material: PmZrTcRu
Method: DFT, PBE
State: optimized geometry

Computed properties:
- magnetic moment (μB per formula unit) = 0.0
- total energy (eV/atom) = -8.361
- D(E_F) (states/eV/f.u.) = 3.6
- DFT formation energy (meV per atom) = -126
- space group = F-43m

The structure in POSCAR format:
```
PmZrTcRu
1.0
4.780 0.000 0.000
2.390 4.139 0.000
2.390 1.380 3.903
Ru Tc Pm Zr
1 1 1 1
Cartesian
4.780 2.760 1.951 Ru
0.000 0.000 0.000 Tc
7.170 4.139 2.927 Pm
2.390 1.380 0.976 Zr
```


Record 6
Material: ZrNiCl
Method: DFT, PBE
State: optimized geometry

Computed properties:
- magnetic moment (μB per formula unit) = 0.5
- total energy (eV/atom) = -5.874
- D(E_F) (states/eV/f.u.) = 3.0
- space group = P3m1
- formation energy without anion corrections (eV per atom) = -0.48

The structure in POSCAR format:
```
ZrNiCl
1.0
3.420 0.000 0.000
-1.710 2.962 0.000
0.000 0.000 6.627
Zr Ni Cl
1 1 1
Cartesian
0.000 1.974 4.338 Zr
1.710 0.987 2.752 Ni
0.000 0.000 6.164 Cl
```


Record 7
Material: VIn3H
Method: DFT, PBE
State: optimized geometry

Computed properties:
- magnetic moment (μB per formula unit) = 2.4
- total energy (eV/atom) = -3.687
- D(E_F) (states/eV/f.u.) = 2.7
- space group = Pm-3m

The structure in POSCAR format:
```
VIn3H
1.0
4.506 0.000 0.000
0.000 4.506 0.000
0.000 0.000 4.506
In H V
3 1 1
Cartesian
2.253 0.000 0.000 In
0.000 2.253 0.000 In
0.000 0.000 2.253 In
0.000 0.000 0.000 H
2.253 2.253 2.253 V
```


Record 8
Material: Th2In3Pb3
Method: DFT, PBE
State: optimized geometry

Computed properties:
- magnetic moment (μB per formula unit) = 0.0
- total energy (eV/atom) = -4.553
- D(E_F) (states/eV/f.u.) = 6.1
- DFT formation energy (meV per atom) = -281
- space group = Pmmm

The structure in POSCAR format:
```
Th2In3Pb3
1.0
4.896 0.000 0.000
0.000 4.836 0.000
0.000 0.000 9.497
Pb In Th
3 3 2
Cartesian
0.000 2.418 4.748 Pb
0.000 2.418 0.000 Pb
2.448 0.000 4.748 Pb
2.448 0.000 0.000 In
2.448 2.418 2.313 In
2.448 2.418 7.183 In
0.000 0.000 7.124 Th
0.000 0.000 2.372 Th
```


Record 9
Material: Cu3PbF
Method: DFT, PBE
State: optimized geometry

Computed properties:
- magnetic moment (μB per formula unit) = 0.0
- total energy (eV/atom) = -2.850
- D(E_F) (states/eV/f.u.) = 6.4
- space group = Pm-3m
- formation energy without anion corrections (eV per atom) = 0.72

The structure in POSCAR format:
```
Cu3PbF
1.0
4.981 0.000 0.000
0.000 4.981 0.000
0.000 0.000 4.981
F Cu Pb
1 3 1
Cartesian
2.490 2.490 2.490 F
0.000 2.490 0.000 Cu
0.000 0.000 2.490 Cu
2.490 0.000 0.000 Cu
0.000 0.000 0.000 Pb
```


Record 10
Material: CeMgCoRh
Method: DFT, PBE
State: optimized geometry

Computed properties:
- magnetic moment (μB per formula unit) = 0.0
- total energy (eV/atom) = -5.817
- D(E_F) (states/eV/f.u.) = 3.9
- DFT formation energy (meV per atom) = -321
- space group = F-43m

The structure in POSCAR format:
```
CeMgCoRh
1.0
-2.929 3.247 1.516
-3.609 1.261 -2.609
-4.294 -1.168 1.271
Rh Mg Ce Co
1 1 1 1
Cartesian
0.000 0.000 0.000 Rh
-2.708 0.835 0.045 Mg
-8.124 2.505 0.134 Ce
-5.416 1.670 0.089 Co
```